First-principles (PBE-GGA) data for a relaxed structure of Li2DyPb9, as listed in Alexandria via LeMat-Bulk.

Results
- SG = P4/mmm, No. 123
- energy of formation from the pure elements (eV/atom) = -0.1720
- density of states at the Fermi level (states/eV per cell) = 5.3
- density (g/cm3) = 9.88
- total magnetic moment (μB/cell) = 0.0

a b c (Å): 4.798 4.798 14.903
angles (deg): 90.00 90.00 90.00
Fractional coordinates of all 12 atoms:
1 Dy 0.000 0.000 0.000
2 Pb 0.000 0.500 0.171
3 Pb 0.500 0.500 0.000
4 Pb 0.000 0.500 0.829
5 Pb 0.000 0.500 0.500
6 Pb 0.500 0.500 0.336
7 Pb 0.500 0.000 0.500
8 Pb 0.500 0.000 0.829
9 Pb 0.500 0.000 0.171
10 Pb 0.500 0.500 0.664
11 Li 0.000 0.000 0.333
12 Li 0.000 0.000 0.667